## NaBi2PdO6 (PBE)

Data for a relaxed NaBi2PdO6 crystal.

Summary:
The energy relative to the elements, uncorrected comes out at -9.81 eV per formula unit. The value obtained for the total magnetic moment is 0.000 μB per cell.

Cell lengths 6.0879, 6.0879, 6.0879 Å; angles 55.99, 55.99, 55.99 degrees
With the nearest neighbours (Å) after each atom.
Fractional coordinates of all 10 atoms:
Na1 0.0000 0.0000 0.0000  3 O 2.28
Bi1 0.2731 0.2731 0.2731  6 O 2.35-2.41
Bi2 0.7867 0.7867 0.7867  6 O 2.30-2.31
Pd1 0.4759 0.4759 0.4759  6 O 2.03-2.06
O1 0.1172 0.6665 0.3920  1 Pd 2.03
O2 0.2199 0.5873 0.8316  1 Pd 2.06
O3 0.3920 0.1172 0.6665  1 Pd 2.03
O4 0.5873 0.8316 0.2199  1 Pd 2.06
O5 0.6665 0.3920 0.1172  1 Pd 2.03
O6 0.8316 0.2199 0.5873  1 Pd 2.06